No. 1
# Be2Hg

Crystalline Be2Hg at its relaxed geometry (PBE, Alexandria via LeMat-Bulk).

Geometry as POSCAR:
```
Be2Hg
1.0
-1.100 3.142 2.002
2.703 -2.393 5.241
5.880 3.091 -1.620
Be Hg
8 4
Cartesian
6.458 0.839 4.116
2.082 1.650 4.208
5.401 2.191 1.414
1.024 3.001 1.507
2.564 1.970 0.202
5.868 4.277 2.166
1.614 -0.437 3.457
4.918 1.871 5.421
3.999 0.430 3.408
6.754 3.223 4.306
0.728 0.617 1.316
3.483 3.411 2.215
```

Values from the calculation:
DOS(E_F): 0.20 states/eV per atom
space-group type: Pnma, No. 62
polymorph energy (0 for the lowest one): 0.144 eV per atom
ΔH_f (0 K): 0.4068 eV per atom


No. 2
# BaTbPm2

Crystalline BaTbPm2 at its relaxed geometry (PBE, Alexandria via LeMat-Bulk).

Geometry as POSCAR:
```
BaTbPm2
1.0
-1.647 2.792 1.896
-2.639 0.250 -2.660
-6.104 -7.252 5.376
Tb Ba Pm
1 1 2
Cartesian
-2.143 1.521 -0.382
-5.195 -2.105 2.306
-4.777 -5.675 4.207
-1.327 -1.576 1.168
```

Values from the calculation:
DOS(E_F): 1.35 states/eV per atom
space-group type: P4/mmm, No. 123
ΔH_f (0 K): 0.1199 eV per atom


No. 3
# TiO2F

Crystalline TiO2F at its relaxed geometry (PBE, Alexandria via LeMat-Bulk).

Geometry as POSCAR:
```
TiO2F
1.0
0.000 2.574 2.574
2.574 0.000 2.574
2.574 2.574 0.000
F O Ti
1 2 1
Cartesian
0.000 0.000 0.000
1.287 1.287 1.287
3.861 3.861 3.861
2.574 2.574 2.574
```

Values from the calculation:
DOS(E_F): 0.65 states/eV per atom
space-group type: Fm-3m, No. 225
E_form (uncorrected): -1.480 eV per atom


No. 4
# RbSe3S3

Crystalline RbSe3S3 at its relaxed geometry (PBE, Alexandria via LeMat-Bulk).

Geometry as POSCAR:
```
RbSe3S3
1.0
4.475 0.000 0.000
0.000 10.582 0.000
0.000 -5.291 9.165
Rb Se S
2 6 6
Cartesian
1.119 5.291 3.055
3.356 0.000 6.110
3.356 4.532 7.260
3.356 9.312 1.610
1.119 3.262 8.870
3.356 2.029 0.295
1.119 -4.021 7.555
1.119 0.759 1.905
3.356 3.660 5.341
3.356 8.087 3.324
1.119 1.165 8.665
3.356 4.126 0.499
1.119 -2.796 5.841
1.119 1.631 3.823
```

Values from the calculation:
DOS(E_F): 0.34 states/eV per atom
space-group type: P6_3/m, No. 176
E_form (uncorrected): -0.148 eV per atom


No. 5
# Sm5TlIn2

Crystalline Sm5TlIn2 at its relaxed geometry (PBE, Alexandria via LeMat-Bulk).

Geometry as POSCAR:
```
Sm5TlIn2
1.0
-2.208 -1.941 -6.405
-3.998 -5.028 2.901
-0.471 6.508 2.068
Sm Tl In
5 1 2
Cartesian
-2.927 3.627 -2.028
-1.823 4.597 1.174
-4.926 1.113 -0.578
-3.822 2.084 2.624
-4.691 -2.141 -1.612
-1.588 1.343 0.140
-3.587 -1.170 1.590
-2.692 0.372 -3.062
```

Values from the calculation:
DOS(E_F): 1.16 states/eV per atom
space-group type: I4/mmm, No. 139
polymorph energy (0 for the lowest one): 0.021 eV per atom
ΔH_f (0 K): -0.3096 eV per atom


No. 6
# Ba3CdI

Crystalline Ba3CdI at its relaxed geometry (PBE, Alexandria via LeMat-Bulk).

Geometry as POSCAR:
```
Ba3CdI
1.0
-3.689 5.586 -0.189
-5.555 -3.689 -0.619
-0.620 -0.184 6.665
I Ba Cd
1 3 1
Cartesian
-4.932 0.856 2.929
-2.777 -1.844 -0.309
-0.310 -0.092 3.333
-1.844 2.793 -0.095
0.000 0.000 0.000
```

Values from the calculation:
DOS(E_F): 1.29 states/eV per atom
space-group type: Pm-3m, No. 221
E_form (uncorrected): -0.327 eV per atom
polymorph energy (0 for the lowest one): 0.000 eV per atom


No. 7
# Tb2CeDyS4

Crystalline Tb2CeDyS4 at its relaxed geometry (PBE, Alexandria via LeMat-Bulk).

Geometry as POSCAR:
```
Tb2CeDyS4
1.0
3.930 0.000 0.000
0.000 6.847 0.129
0.000 -2.381 6.409
Tb Ce Dy S
2 1 1 4
Cartesian
1.965 -1.191 3.205
0.000 2.233 3.269
1.965 3.424 0.065
0.000 0.000 0.000
1.965 1.084 1.643
1.965 3.382 4.895
0.000 -0.107 4.805
0.000 4.573 1.734
```

Values from the calculation:
DOS(E_F): 0.92 states/eV per atom
space-group type: P2/m, No. 10
E_form (uncorrected): -2.019 eV per atom


No. 8
# Nb3TcMo2

Crystalline Nb3TcMo2 at its relaxed geometry (PBE, Alexandria via LeMat-Bulk).

Geometry as POSCAR:
```
Nb3TcMo2
1.0
4.554 0.000 0.018
2.277 6.827 0.009
-0.026 0.000 6.446
Nb Tc Mo
6 2 4
Cartesian
4.535 2.283 4.861
2.271 0.000 1.613
2.271 4.544 1.612
4.548 2.283 1.621
2.258 4.544 4.852
2.258 0.000 4.851
2.277 2.278 0.009
4.554 4.549 0.018
0.000 0.000 0.000
-0.013 0.000 3.223
2.264 2.280 3.232
4.541 4.546 3.241
```

Values from the calculation:
DOS(E_F): 0.57 states/eV per atom
space-group type: Cmmm, No. 65
polymorph energy (0 for the lowest one): 0.000 eV per atom
ΔH_f (0 K): -0.2143 eV per atom


No. 9
# Tl8CdIn2

Crystalline Tl8CdIn2 at its relaxed geometry (PBE, Alexandria via LeMat-Bulk).

Geometry as POSCAR:
```
Tl8CdIn2
1.0
5.419 0.000 -1.556
-0.074 6.160 -0.259
-0.116 0.087 9.812
Tl Cd In
8 1 2
Cartesian
2.109 2.748 7.348
3.608 0.670 2.353
4.539 1.268 5.596
5.006 4.616 7.224
0.689 4.979 2.401
1.620 5.577 5.644
3.119 3.499 0.649
0.222 1.631 0.773
2.709 0.000 -0.778
4.045 4.028 3.875
1.183 2.219 4.122
```

Values from the calculation:
DOS(E_F): 0.38 states/eV per atom
space-group type: C2/m, No. 12
polymorph energy (0 for the lowest one): 0.000 eV per atom
ΔH_f (0 K): 0.0235 eV per atom


No. 10
# YTa2Cd

Crystalline YTa2Cd at its relaxed geometry (PBE, Alexandria via LeMat-Bulk).

Geometry as POSCAR:
```
YTa2Cd
1.0
3.649 0.000 0.000
0.000 3.649 0.000
0.000 0.000 6.607
Cd Ta Y
1 2 1
Cartesian
1.824 1.824 4.955
0.000 0.000 6.268
0.000 0.000 3.642
1.824 1.824 1.652
```

Values from the calculation:
DOS(E_F): 1.82 states/eV per atom
space-group type: P4/mmm, No. 123
ΔH_f (0 K): 0.6069 eV per atom


No. 11
# KP2Se

Crystalline KP2Se at its relaxed geometry (PBE, Alexandria via LeMat-Bulk).

Geometry as POSCAR:
```
KP2Se
1.0
3.311 -0.010 0.000
-1.146 3.107 0.000
0.000 0.000 8.594
K P Se
1 2 1
Cartesian
1.083 1.548 6.445
0.000 0.000 0.407
0.000 0.000 3.890
1.083 1.548 2.148
```

Values from the calculation:
DOS(E_F): 0.66 states/eV per atom
space-group type: Cmmm, No. 65
E_form (uncorrected): 0.510 eV per atom


No. 12
# Zr2TiZn2Ir5

Crystalline Zr2TiZn2Ir5 at its relaxed geometry (PBE, Alexandria via LeMat-Bulk).

Geometry as POSCAR:
```
Zr2TiZn2Ir5
1.0
-3.222 0.182 1.702
0.453 -9.210 1.841
4.387 1.837 8.111
Zr Ti Zn Ir
4 2 4 10
Cartesian
1.060 -5.875 2.635
3.779 -1.497 7.317
1.515 -0.985 2.975
3.324 -6.387 6.977
0.000 0.000 0.000
2.420 -3.686 4.976
2.802 -0.009 5.308
2.037 -7.363 4.644
4.118 -4.158 8.243
0.721 -3.215 1.709
-1.211 -1.621 1.791
2.828 -5.570 9.863
1.930 0.911 7.470
0.590 -5.566 5.623
-0.313 -8.102 4.183
1.027 -1.625 6.031
1.717 -3.878 7.578
-0.100 -3.313 4.075
-1.385 -4.514 1.771
0.582 1.009 4.906
```

Values from the calculation:
DOS(E_F): 0.75 states/eV per atom
space-group type: P4/mbm, No. 127
ΔH_f (0 K): -0.5506 eV per atom


No. 13
# YTa2Zn

Crystalline YTa2Zn at its relaxed geometry (PBE, Alexandria via LeMat-Bulk).

Geometry as POSCAR:
```
YTa2Zn
1.0
-9.807 -0.094 -0.197
-9.268 -3.118 -0.773
-9.337 -2.077 2.173
Ta Y Zn
2 1 1
Cartesian
-0.064 -0.012 0.003
-7.262 -1.352 0.307
-14.151 -2.634 0.598
-21.141 -3.935 0.894
```

Values from the calculation:
DOS(E_F): 0.77 states/eV per atom
space-group type: R3m, No. 160
ΔH_f (0 K): 0.3073 eV per atom


No. 14
# Li3Pm3ZrSe8

Crystalline Li3Pm3ZrSe8 at its relaxed geometry (PBE, Alexandria via LeMat-Bulk).

Geometry as POSCAR:
```
Li3Pm3ZrSe8
1.0
8.260 0.000 0.000
-4.130 7.153 -0.027
0.000 -4.748 6.515
Li Pm Zr Se
3 3 1 8
Cartesian
0.000 0.000 0.000
-2.065 3.576 -0.013
2.065 3.576 -0.013
4.130 -2.374 3.258
2.065 1.202 3.244
-2.065 1.202 3.244
0.000 -2.374 3.258
0.000 2.388 1.549
4.130 0.016 4.940
4.130 2.547 1.637
0.000 -0.142 4.851
2.202 5.885 1.625
1.928 -3.481 4.864
-2.202 5.885 1.625
6.332 -3.481 4.864
```

Values from the calculation:
space-group type: R-3m, No. 166
E_form (uncorrected): -1.601 eV per atom


No. 15
# Rb4Th3MnTe8

Crystalline Rb4Th3MnTe8 at its relaxed geometry (PBE, Alexandria via LeMat-Bulk).

Geometry as POSCAR:
```
Rb4Th3MnTe8
1.0
9.036 0.000 0.000
0.000 10.071 0.727
-4.518 -4.514 6.390
Rb Th Mn Te
4 3 1 8
Cartesian
4.518 0.000 0.000
2.259 -2.257 3.195
0.000 0.000 0.000
-2.259 -2.257 3.195
4.518 5.035 0.363
2.259 2.778 3.559
-2.259 2.778 3.559
0.000 5.035 0.363
-2.350 2.645 6.722
0.000 4.993 3.398
0.000 0.526 3.564
2.350 2.645 6.722
2.168 2.911 0.395
4.518 5.030 3.553
4.518 0.563 3.719
6.868 2.911 0.395
```

Values from the calculation:
DOS(E_F): 0.58 states/eV per atom
space-group type: R-3m, No. 166
E_form (uncorrected): -1.028 eV per atom


No. 16
# Cs3Tl11

Crystalline Cs3Tl11 at its relaxed geometry (PBE, Alexandria via LeMat-Bulk).

Geometry as POSCAR:
```
Cs3Tl11
1.0
5.213 0.000 1.461
1.788 9.580 3.652
-0.093 -0.949 10.364
Cs Tl
3 11
Cartesian
0.000 0.000 0.000
2.754 6.032 10.235
4.154 2.599 5.241
4.627 5.600 13.583
5.182 3.135 11.603
5.182 8.704 11.604
3.097 2.320 9.011
0.897 0.858 6.830
0.847 4.316 7.008
6.011 7.773 8.646
3.811 6.312 6.466
1.726 -0.073 3.872
1.726 5.497 3.874
2.281 3.032 1.893
```

Values from the calculation:
DOS(E_F): 0.58 states/eV per atom
space-group type: Immm, No. 71
ΔH_f (0 K): -0.0534 eV per atom


No. 17
# ZrPtSe2Br

Crystalline ZrPtSe2Br at its relaxed geometry (PBE, Alexandria via LeMat-Bulk).

Geometry as POSCAR:
```
ZrPtSe2Br
1.0
4.969 0.000 0.000
0.000 4.969 0.000
0.000 0.000 4.943
Br Se Zr Pt
1 2 1 1
Cartesian
0.000 0.000 2.471
0.000 2.485 0.000
2.485 0.000 0.000
2.485 2.485 2.471
0.000 0.000 0.000
```

Values from the calculation:
DOS(E_F): 1.43 states/eV per atom
space-group type: P4/mmm, No. 123
E_form (uncorrected): 0.247 eV per atom
polymorph energy (0 for the lowest one): 0.102 eV per atom


No. 18
# YTcO4F

Crystalline YTcO4F at its relaxed geometry (PBE, Alexandria via LeMat-Bulk).

Geometry as POSCAR:
```
YTcO4F
1.0
6.003 -0.151 -0.010
1.846 5.714 -0.010
1.576 1.117 6.682
Y Tc O F
2 2 8 2
Cartesian
2.999 2.126 6.070
6.426 4.555 0.591
6.189 4.387 4.708
3.236 2.294 1.953
2.826 2.003 3.621
6.599 4.677 3.040
1.780 2.869 0.998
4.627 3.279 1.563
6.129 5.951 5.663
3.296 0.730 0.998
4.799 3.401 5.098
7.645 3.812 5.663
0.358 0.254 1.168
9.068 6.427 5.493
```

Values from the calculation:
DOS(E_F): 0.47 states/eV per atom
space-group type: C2/m, No. 12
E_form (uncorrected): -2.389 eV per atom


No. 19
# TlSi2Pb2

Crystalline TlSi2Pb2 at its relaxed geometry (PBE, Alexandria via LeMat-Bulk).

Geometry as POSCAR:
```
TlSi2Pb2
1.0
7.926 0.000 0.000
0.000 7.926 0.000
0.000 0.000 4.205
Pb Tl Si
4 2 4
Cartesian
1.372 5.335 2.102
5.335 6.555 2.102
6.555 2.592 2.102
2.592 1.372 2.102
0.000 0.000 0.000
3.963 3.963 0.000
3.121 7.084 0.000
7.084 4.806 0.000
4.806 0.843 0.000
0.843 3.121 0.000
```

Values from the calculation:
DOS(E_F): 0.42 states/eV per atom
space-group type: P4/mbm, No. 127
E_form (uncorrected): 0.336 eV per atom
polymorph energy (0 for the lowest one): 0.108 eV per atom


No. 20
# TaRuN

Crystalline TaRuN at its relaxed geometry (PBE, Alexandria via LeMat-Bulk).

Geometry as POSCAR:
```
TaRuN
1.0
5.781 0.000 0.002
0.000 2.887 0.000
-5.375 0.000 9.308
Ta Ru N
4 4 4
Cartesian
-2.299 0.000 5.424
0.389 1.443 0.770
1.128 0.000 3.507
-1.560 1.443 8.161
3.236 0.000 1.449
0.549 1.443 6.103
-3.845 0.000 8.016
-1.157 1.443 3.363
-0.789 0.000 6.762
1.899 1.443 2.108
4.786 0.000 0.100
2.098 1.443 4.753
```

Values from the calculation:
DOS(E_F): 0.54 states/eV per atom
space-group type: Cm, No. 8
E_form (uncorrected): -0.401 eV per atom
polymorph energy (0 for the lowest one): 0.138 eV per atom


No. 21
# BeTlSb2Te

Crystalline BeTlSb2Te at its relaxed geometry (PBE, Alexandria via LeMat-Bulk).

Geometry as POSCAR:
```
BeTlSb2Te
1.0
-1.286 3.327 -3.447
3.192 -2.067 -3.185
-3.975 -3.386 -1.786
Sb Tl Te Be
2 1 1 1
Cartesian
1.596 -1.033 -1.593
-0.643 1.663 -1.723
-1.035 -1.063 -4.209
-1.987 -1.693 -0.893
0.000 0.000 0.000
```

Values from the calculation:
DOS(E_F): 0.65 states/eV per atom
space-group type: P4/mmm, No. 123
E_form (uncorrected): 0.311 eV per atom
polymorph energy (0 for the lowest one): 0.000 eV per atom


No. 22
# KYGeS4

Crystalline KYGeS4 at its relaxed geometry (PBE, Alexandria via LeMat-Bulk).

Geometry as POSCAR:
```
KYGeS4
1.0
-5.049 -1.741 -4.058
-0.638 -5.671 3.227
-5.709 1.342 6.527
K Y Ge S
2 2 2 8
Cartesian
-5.846 -5.787 -1.236
-7.988 -1.123 4.973
-5.287 -1.579 1.601
-3.685 -3.655 6.043
-4.757 -4.770 2.711
-8.901 -2.079 1.168
-3.715 -3.820 1.022
-2.824 -0.173 0.959
-6.109 -6.451 2.112
-7.280 -3.470 0.530
-5.665 -3.134 3.921
-5.233 0.400 3.627
-8.443 -5.852 4.842
-9.928 -3.025 2.868
```

Values from the calculation:
DOS(E_F): 0.00 states/eV per atom
space-group type: P2_1, No. 4
E_form (uncorrected): -1.257 eV per atom


No. 23
# BaZr3Br

Crystalline BaZr3Br at its relaxed geometry (PBE, Alexandria via LeMat-Bulk).

Geometry as POSCAR:
```
BaZr3Br
1.0
5.389 0.000 0.000
0.000 5.389 0.000
0.000 0.000 5.389
Br Ba Zr
1 1 3
Cartesian
2.694 2.694 2.694
0.000 0.000 0.000
0.000 2.694 0.000
0.000 0.000 2.694
2.694 0.000 0.000
```

Values from the calculation:
DOS(E_F): 1.14 states/eV per atom
space-group type: Pm-3m, No. 221
E_form (uncorrected): 1.788 eV per atom
polymorph energy (0 for the lowest one): 1.362 eV per atom